KTe2P | PBE-GGA | relaxed

- theoretical density (Mg/m³) = 5.03
- uncorrected energy (eV per atom) = -3.047
- formation energy from raw total energies (eV/atom) = 0.151

Cell: 4.8928 4.9046 4.4720 Å, 90.00 90.00 90.00°
Fractional coordinates of all 4 atoms:
K 0.5000 0.0000 0.5000
P 0.0000 0.5000 0.5000
Te 0.0000 0.0000 0.0000
Te 0.5000 0.5000 0.0000

***

K2TiTeP | PBE-GGA | relaxed

- theoretical density (Mg/m³) = 2.05
- uncorrected energy (eV per atom) = -3.095
- formation energy from raw total energies (eV/atom) = 0.634

Cell: 6.7305 5.0988 6.7305 Å, 90.00 90.00 90.00°
Site moments in Bohr magnetons follow the coordinates.
Fractional coordinates of all 5 atoms:
P 0.5000 0.5000 0.5000  0.10
K 0.0000 0.0000 0.5000  0.03
K 0.5000 0.0000 0.0000  0.03
Te 0.0000 0.5000 0.0000  -0.10
Ti 0.0000 0.0000 0.0000  1.79

***

KThP2 | PBE-GGA | relaxed

- ΔE_f (eV/atom) = -0.759
- theoretical density (Mg/m³) = 4.55
- uncorrected energy (eV per atom) = -5.593

Cell: 4.3196 4.3196 7.9191 Å, 74.17 74.17 60.00°
Fractional coordinates of all 4 atoms:
P 0.2690 0.2690 0.1930
P 0.7310 0.7310 0.8070
K 0.5000 0.5000 0.5000
Th 0.0000 0.0000 0.0000

***

KTiP3 | PBE-GGA | relaxed

- ΔE_f (eV/atom) = 1.968
- theoretical density (Mg/m³) = 2.46
- uncorrected energy (eV per atom) = -3.076

Cell: 4.9508 4.9508 4.9508 Å, 90.00 90.00 90.00°
Site moments in Bohr magnetons follow the coordinates.
Fractional coordinates of all 5 atoms:
P 0.0000 0.5000 0.0000  -0.02
P 0.0000 0.0000 0.5000  -0.01
P 0.5000 0.0000 0.0000  -0.02
K 0.0000 0.0000 0.0000  0.00
Ti 0.5000 0.5000 0.5000  0.12